Material: KNbPt2
Method: DFT, PBE-GGA
State: relaxed

Properties
- Total moment: 0.0 μB per cell
- E_form: 346.9 meV per atom

POSCAR file:
```
KNbPt2
1.0
-2.5780 7.1593 0.5843
-6.8751 -2.2795 -2.4041
-5.6772 1.8284 2.3885
Nb K Pt
2 2 4
direct
0.0000 0.0000 0.0000
0.7500 0.2500 0.5000
0.5000 0.5000 0.0000
0.2500 0.7500 0.5000
0.6966 0.1250 0.2500
0.0534 0.6250 0.2500
0.3750 0.3034 0.7500
0.8750 0.9466 0.7500
```